# 1
A relaxed structure of Ac2O3, computed with PBE-GGA.

The structure in POSCAR format:
```
Ac2O3
1.0
4.099 0.000 0.000
-2.050 3.550 0.000
0.000 0.000 6.374
Ac O
2 3
direct
0.333 0.667 0.247
0.667 0.333 0.753
0.000 0.000 0.000
0.333 0.667 0.644
0.667 0.333 0.356
```

Properties
calculated total energy	-39.71	eV per formula unit
density of states at the Fermi level	0.0000	states/eV per atom
volume	92.8	Å³/cell
total moment	0.0	μB/f.u.

***

# 2
A relaxed structure of Ac3O4, computed with PBE-GGA.

The structure in POSCAR format:
```
Ac3O4
1.0
5.231 0.000 0.000
0.000 5.231 0.000
0.000 0.000 5.231
Ac O
3 4
direct
0.000 0.000 0.500
0.000 0.500 0.000
0.500 0.000 0.000
0.000 0.000 0.000
0.000 0.500 0.500
0.500 0.000 0.500
0.500 0.500 0.000
```

Properties
calculated total energy	-51.48	eV per formula unit
density of states at the Fermi level	0.4034	states/eV per atom
volume	143.1	Å³/cell
total moment	0.0	μB/f.u.

***

# 3
A relaxed structure of Ac2O3, computed with PBE-GGA.

The structure in POSCAR format:
```
Ac2O3
1.0
3.254 1.879 5.413
-3.254 1.879 5.413
0.000 -3.757 5.413
Ac O
4 6
direct
0.138 0.138 0.138
0.362 0.362 0.362
0.638 0.638 0.638
0.862 0.862 0.862
0.032 0.750 0.468
0.250 0.532 0.968
0.468 0.032 0.750
0.532 0.968 0.250
0.750 0.468 0.032
0.968 0.250 0.532
```

Properties
calculated total energy	-39.53	eV per formula unit
density of states at the Fermi level	0.0000	states/eV per atom
volume	198.5	Å³/cell
total moment	0.0	μB/f.u.

***

# 4
A relaxed structure of Ac3O5, computed with PBE-GGA.

The structure in POSCAR format:
```
Ac3O5
1.0
3.301 -5.413 0.000
3.301 5.413 0.000
0.000 0.000 3.875
Ac O
3 5
direct
0.000 0.000 0.000
0.337 0.663 0.500
0.663 0.337 0.500
0.000 0.500 0.000
0.219 0.219 0.500
0.500 0.000 0.000
0.500 0.500 0.000
0.781 0.781 0.500
```

Properties
calculated total energy	-60.54	eV per formula unit
density of states at the Fermi level	0.2082	states/eV per atom
volume	138.5	Å³/cell
total moment	1.0	μB/f.u.

***

# 5
A relaxed structure of Ac2OsO8, computed with PBE-GGA.

The structure in POSCAR format:
```
Ac2OsO8
1.0
8.162 -1.923 0.000
8.162 1.923 0.000
-1.492 0.000 4.896
Ac Os O
2 1 8
direct
0.170 0.170 0.169
0.830 0.830 0.831
0.500 0.500 0.500
0.031 0.031 0.716
0.236 0.236 0.753
0.400 0.400 0.585
0.433 0.433 0.114
0.567 0.567 0.886
0.600 0.600 0.415
0.764 0.764 0.247
0.969 0.969 0.284
```

Properties
calculated total energy	-76.71	eV per formula unit
density of states at the Fermi level	0.6252	states/eV per atom
volume	153.7	Å³/cell
total moment	0.3	μB/f.u.

***

# 6
A relaxed structure of AcOs2O6, computed with PBE-GGA.

The structure in POSCAR format:
```
AcOs2O6
1.0
5.412 0.000 0.000
-2.706 4.687 0.000
0.000 0.000 5.147
Ac Os O
1 2 6
direct
0.000 0.000 0.000
0.333 0.667 0.500
0.667 0.333 0.500
0.000 0.379 0.705
0.000 0.621 0.295
0.379 0.000 0.705
0.379 0.379 0.295
0.621 0.000 0.295
0.621 0.621 0.705
```

Properties
calculated total energy	-70.71	eV per formula unit
density of states at the Fermi level	0.4894	states/eV per atom
volume	130.5	Å³/cell
total moment	1.1	μB/f.u.

***

# 7
A relaxed structure of Ac3OsO7, computed with PBE-GGA.

The structure in POSCAR format:
```
Ac3OsO7
1.0
5.810 -3.873 0.000
5.810 3.873 0.000
0.000 0.000 7.883
Ac Os O
6 2 14
direct
0.000 0.000 0.000
0.000 0.000 0.500
0.095 0.465 0.750
0.465 0.095 0.250
0.535 0.905 0.750
0.905 0.535 0.250
0.500 0.500 0.000
0.500 0.500 0.500
0.098 0.163 0.250
0.163 0.098 0.750
0.200 0.557 0.040
0.200 0.557 0.460
0.426 0.574 0.750
0.443 0.800 0.040
0.443 0.800 0.460
0.557 0.200 0.540
0.557 0.200 0.960
0.574 0.426 0.250
0.800 0.443 0.540
0.800 0.443 0.960
0.837 0.902 0.250
0.902 0.837 0.750
```

Properties
calculated total energy	-87.50	eV per formula unit
density of states at the Fermi level	0.0228	states/eV per atom
volume	354.8	Å³/cell
total moment	3.0	μB/f.u.

***

# 8
A relaxed structure of Ac2OsO8, computed with PBE-GGA.

The structure in POSCAR format:
```
Ac2OsO8
1.0
3.428 -6.571 0.000
3.428 6.571 0.000
-2.838 0.000 3.672
Ac Os O
2 1 8
direct
0.160 0.840 0.000
0.840 0.160 0.000
0.524 0.524 0.994
0.250 0.250 0.970
0.280 0.481 0.614
0.372 0.946 0.661
0.481 0.280 0.614
0.577 0.784 0.316
0.784 0.577 0.316
0.798 0.798 0.957
0.946 0.372 0.661
```

Properties
calculated total energy	-78.89	eV per formula unit
density of states at the Fermi level	0.0257	states/eV per atom
volume	165.4	Å³/cell
total moment	1.9	μB/f.u.

***

# 9
A relaxed structure of AcOsO6, computed with PBE-GGA.

The structure in POSCAR format:
```
AcOsO6
1.0
0.000 4.351 4.351
4.351 0.000 4.351
4.351 4.351 0.000
Ac Os O
1 1 6
direct
0.000 0.000 0.000
0.500 0.500 0.500
0.287 0.287 0.713
0.287 0.713 0.287
0.287 0.713 0.713
0.713 0.287 0.287
0.713 0.287 0.713
0.713 0.713 0.287
```

Properties
calculated total energy	-56.81	eV per formula unit
density of states at the Fermi level	0.8994	states/eV per atom
volume	164.7	Å³/cell
total moment	1.1	μB/f.u.

***

# 10
A relaxed structure of Ac6OsO12, computed with PBE-GGA.

The structure in POSCAR format:
```
Ac6OsO12
1.0
5.342 3.084 3.423
-5.342 3.084 3.423
0.000 -6.169 3.423
Ac Os O
6 1 12
direct
0.104 0.643 0.800
0.200 0.896 0.357
0.357 0.200 0.896
0.643 0.800 0.104
0.800 0.104 0.643
0.896 0.357 0.200
0.500 0.500 0.500
0.054 0.323 0.905
0.095 0.946 0.677
0.224 0.529 0.435
0.323 0.905 0.054
0.435 0.224 0.529
0.471 0.565 0.776
0.529 0.435 0.224
0.565 0.776 0.471
0.677 0.095 0.946
0.776 0.471 0.565
0.905 0.054 0.323
0.946 0.677 0.095
```

Properties
calculated total energy	-150.28	eV per formula unit
density of states at the Fermi level	0.5131	states/eV per atom
volume	338.5	Å³/cell
total moment	2.0	μB/f.u.

***

# 11
A relaxed structure of Ac4OsO10, computed with PBE-GGA.

The structure in POSCAR format:
```
Ac4OsO10
1.0
-4.484 4.484 2.910
4.484 -4.484 2.910
4.484 4.484 -2.910
Ac Os O
4 1 10
direct
0.101 0.699 0.800
0.301 0.101 0.402
0.699 0.899 0.598
0.899 0.301 0.200
0.500 0.500 0.000
0.122 0.380 0.921
0.201 0.122 0.742
0.250 0.750 0.500
0.380 0.459 0.258
0.459 0.201 0.079
0.541 0.799 0.921
0.620 0.541 0.742
0.750 0.250 0.500
0.799 0.878 0.258
0.878 0.620 0.079
```

Properties
calculated total energy	-111.66	eV per formula unit
density of states at the Fermi level	0.8479	states/eV per atom
volume	234.0	Å³/cell
total moment	3.3	μB/f.u.

***

# 12
A relaxed structure of Ac2OsO5, computed with PBE-GGA.

The structure in POSCAR format:
```
Ac2OsO5
1.0
-2.897 2.897 3.757
2.897 -2.897 3.757
2.897 2.897 -3.757
Ac Os O
2 1 5
direct
0.000 0.500 0.500
0.500 0.000 0.500
0.236 0.236 0.000
0.473 0.473 0.481
0.473 0.992 0.000
0.492 0.492 0.000
0.992 0.473 0.000
0.992 0.992 0.519
```

Properties
calculated total energy	-61.33	eV per formula unit
density of states at the Fermi level	0.2068	states/eV per atom
volume	126.1	Å³/cell
total moment	3.9	μB/f.u.

***

# 13
A relaxed structure of AcOsO4, computed with PBE-GGA.

The structure in POSCAR format:
```
AcOsO4
1.0
5.625 0.000 0.000
0.000 5.554 0.000
-0.568 0.000 5.349
Ac Os O
2 2 8
direct
0.000 0.000 0.000
0.000 0.500 0.500
0.500 0.000 0.500
0.500 0.500 0.000
0.186 0.126 0.427
0.186 0.374 0.927
0.375 0.723 0.263
0.375 0.777 0.763
0.625 0.223 0.237
0.625 0.277 0.737
0.814 0.626 0.073
0.814 0.874 0.573
```

Properties
calculated total energy	-46.61	eV per formula unit
density of states at the Fermi level	0.4497	states/eV per atom
volume	167.1	Å³/cell
total moment	2.4	μB/f.u.

***

# 14
A relaxed structure of AcOs4O12, computed with PBE-GGA.

The structure in POSCAR format:
```
AcOs4O12
1.0
-3.863 3.863 3.863
3.863 -3.863 3.863
3.863 3.863 -3.863
Ac Os O
1 4 12
direct
0.000 0.000 0.000
0.000 0.000 0.500
0.000 0.500 0.000
0.500 0.000 0.000
0.500 0.500 0.500
0.000 0.245 0.755
0.000 0.755 0.245
0.245 0.000 0.755
0.245 0.245 0.490
0.245 0.490 0.245
0.245 0.755 0.000
0.490 0.245 0.245
0.510 0.755 0.755
0.755 0.000 0.245
0.755 0.245 0.000
0.755 0.510 0.755
0.755 0.755 0.510
```

Properties
calculated total energy	-130.03	eV per formula unit
density of states at the Fermi level	0.7801	states/eV per atom
volume	230.6	Å³/cell
total moment	0.0	μB/f.u.

***

# 15
A relaxed structure of AcOsO4, computed with PBE-GGA.

The structure in POSCAR format:
```
AcOsO4
1.0
3.826 0.000 0.000
0.000 3.826 0.000
0.000 0.000 12.441
Ac Os O
2 2 8
direct
0.250 0.250 0.116
0.750 0.750 0.884
0.250 0.250 0.646
0.750 0.750 0.354
0.250 0.250 0.801
0.250 0.750 0.000
0.250 0.750 0.365
0.250 0.750 0.635
0.750 0.250 0.000
0.750 0.250 0.365
0.750 0.250 0.635
0.750 0.750 0.199
```

Properties
calculated total energy	-46.13	eV per formula unit
density of states at the Fermi level	0.4803	states/eV per atom
volume	182.2	Å³/cell
total moment	0.2	μB/f.u.

***

# 16
A relaxed structure of Ac2Os3O10, computed with PBE-GGA.

The structure in POSCAR format:
```
Ac2Os3O10
1.0
9.243 -2.894 0.000
9.243 2.894 0.000
-2.997 0.000 7.079
Ac Os O
4 6 20
direct
0.115 0.115 0.214
0.214 0.214 0.815
0.786 0.786 0.185
0.885 0.885 0.786
0.220 0.780 0.500
0.323 0.323 0.485
0.421 0.421 0.033
0.579 0.579 0.967
0.677 0.677 0.515
0.780 0.220 0.500
0.000 0.500 0.500
0.025 0.025 0.713
0.107 0.587 0.024
0.124 0.654 0.479
0.268 0.268 0.224
0.268 0.732 0.000
0.346 0.876 0.521
0.372 0.372 0.761
0.413 0.893 0.976
0.475 0.475 0.319
0.500 0.000 0.500
0.525 0.525 0.681
0.587 0.107 0.024
0.628 0.628 0.239
0.654 0.124 0.479
0.732 0.268 0.000
0.732 0.732 0.776
0.876 0.346 0.521
0.893 0.413 0.976
0.975 0.975 0.287
```

Properties
calculated total energy	-118.40	eV per formula unit
density of states at the Fermi level	0.3583	states/eV per atom
volume	378.6	Å³/cell
total moment	1.1	μB/f.u.

***

# 17
A relaxed structure of AcP2OsO8, computed with PBE-GGA.

The structure in POSCAR format:
```
AcP2OsO8
1.0
2.419 1.397 7.502
-2.419 1.397 7.502
0.000 -2.793 7.502
Ac P Os O
1 2 1 8
direct
0.000 0.000 0.000
0.248 0.248 0.248
0.752 0.752 0.752
0.500 0.500 0.500
0.096 0.485 0.732
0.268 0.515 0.904
0.317 0.317 0.317
0.485 0.732 0.096
0.515 0.904 0.268
0.683 0.683 0.683
0.732 0.096 0.485
0.904 0.268 0.515
```

Properties
calculated total energy	-89.77	eV per formula unit
density of states at the Fermi level	0.4316	states/eV per atom
volume	152.1	Å³/cell
total moment	1.0	μB/f.u.

***

# 18
A relaxed structure of AcOsPbO6, computed with PBE-GGA.

The structure in POSCAR format:
```
AcOsPbO6
1.0
6.015 0.000 0.000
-3.007 5.209 0.000
0.000 0.000 9.203
Ac Os Pb O
2 2 2 12
direct
0.333 0.667 0.250
0.667 0.333 0.750
0.333 0.667 0.750
0.667 0.333 0.250
0.000 0.000 0.000
0.000 0.000 0.500
0.069 0.403 0.634
0.069 0.665 0.866
0.335 0.403 0.866
0.335 0.931 0.634
0.403 0.069 0.134
0.403 0.335 0.366
0.597 0.665 0.634
0.597 0.931 0.866
0.665 0.069 0.366
0.665 0.597 0.134
0.931 0.335 0.134
0.931 0.597 0.366
```

Properties
calculated total energy	-63.65	eV per formula unit
density of states at the Fermi level	0.4717	states/eV per atom
volume	288.3	Å³/cell
total moment	0.7	μB/f.u.

***

# 19
A relaxed structure of AcOsPb2O6, computed with PBE-GGA.

The structure in POSCAR format:
```
AcOsPb2O6
1.0
5.974 0.000 0.000
0.000 6.562 0.000
-0.002 -1.477 8.793
Ac Os Pb O
2 2 4 12
direct
0.000 0.000 0.000
0.500 0.500 0.500
0.000 0.000 0.500
0.500 0.500 0.000
0.029 0.408 0.782
0.471 0.908 0.282
0.529 0.092 0.718
0.971 0.592 0.218
0.020 0.973 0.276
0.219 0.228 0.535
0.247 0.300 0.979
0.254 0.800 0.480
0.280 0.728 0.034
0.482 0.473 0.776
0.518 0.527 0.224
0.720 0.272 0.966
0.746 0.200 0.520
0.753 0.700 0.021
0.781 0.772 0.465
0.980 0.027 0.724
```

Properties
calculated total energy	-68.59	eV per formula unit
density of states at the Fermi level	0.0182	states/eV per atom
volume	344.7	Å³/cell
total moment	0.0	μB/f.u.